# CaZn2Tc

A relaxed CaZn2Tc crystal (PBE, Alexandria via LeMat-Bulk).

Calculated values
Energy of formation from the pure elements: 0.088 eV per atom
Density: 6.18 g/cm3
Distance to the lowest polymorph of the same formula: 0.000 eV per formula unit
Total DFT energy (no corrections): -14.56 eV/cell
M_tot: 0.0 μB/cell
Space group: P4/mmm (123)

Cell and atoms, written as POSCAR:
```
CaZn2Tc
1.0
3.377 0.000 0.000
0.000 3.377 0.000
0.000 0.000 6.335
Ca Zn Tc
1 2 1
direct
0.000 0.000 0.000
0.500 0.500 0.304
0.500 0.500 0.696
0.000 0.000 0.500
```